Material: PuZrPb2
Method: DFT, PBE
State: optimized geometry

Summary:
ΔE_f = -0.05 eV per atom
ρ = 11.66 Mg/m³

abc: 3.4253 3.4253 31.5294
angles: 90.00 90.00 120.00
Last column: nearest neighbours and their distance in Å.
Element x y z (fractional)
Pu 0.0000 0.0000 0.0000  6 Pb 3.40, 6 Pu 3.43
Pu 0.3333 0.6667 0.6667  6 Pb 3.40, 6 Pu 3.43
Pu 0.6667 0.3333 0.3333  6 Pb 3.40, 6 Pu 3.43
Zr 0.0000 0.0000 0.5000  6 Pb 3.18, 6 Zr 3.43
Zr 0.3333 0.6667 0.1667  6 Pb 3.18, 6 Zr 3.43
Zr 0.6667 0.3333 0.8333  6 Pb 3.18, 6 Zr 3.43
Pb 0.0000 0.0000 0.2455  3 Zr 3.18, 3 Pu 3.40, 6 Pb 3.43
Pb 0.0000 0.0000 0.7545  3 Zr 3.18, 3 Pu 3.40, 6 Pb 3.43
Pb 0.3333 0.6667 0.4212  3 Zr 3.18, 3 Pu 3.40, 6 Pb 3.43
Pb 0.3333 0.6667 0.9121  3 Zr 3.18, 3 Pu 3.40, 6 Pb 3.43
Pb 0.6667 0.3333 0.0879  3 Zr 3.18, 3 Pu 3.40, 6 Pb 3.43
Pb 0.6667 0.3333 0.5788  3 Zr 3.18, 3 Pu 3.40, 6 Pb 3.43



Material: PuZrPb
Method: DFT, PBE
State: optimized geometry

Summary:
ΔE_f = 0.02 eV per atom
Offset from the most stable computed form = 0.0 meV/atom
ρ = 11.61 Mg/m³

abc: 3.2358 3.2358 14.8157
angles: 90.00 90.00 90.00
Last column: nearest neighbours and their distance in Å.
Element x y z (fractional)
Pu 0.0000 0.0000 0.0000  4 Pu 3.24, 4 Zr 3.33, 4 Pb 3.47
Pu 0.5000 0.5000 0.5000  4 Pu 3.24, 4 Zr 3.33, 4 Pb 3.47
Zr 0.0000 0.0000 0.6630  4 Zr 3.24, 4 Pb 3.30, 4 Pu 3.33
Zr 0.5000 0.5000 0.1630  4 Zr 3.24, 4 Pb 3.30, 4 Pu 3.33
Pb 0.0000 0.0000 0.3240  4 Pb 3.24, 4 Zr 3.30, 4 Pu 3.47
Pb 0.5000 0.5000 0.8240  4 Pb 3.24, 4 Zr 3.30, 4 Pu 3.47



Material: PuZrPb2
Method: DFT, PBE
State: optimized geometry

Summary:
ΔE_f = 0.13 eV per atom
ρ = 10.15 Mg/m³

abc: 4.5910 4.5910 20.1558
angles: 90.00 90.00 120.00
Last column: nearest neighbours and their distance in Å.
Element x y z (fractional)
Pu 0.0000 0.0000 0.0000  6 Pb 3.20-3.22, 1 Zr 3.44
Pu 0.3333 0.6667 0.6667  6 Pb 3.20-3.22, 1 Zr 3.44
Pu 0.6667 0.3333 0.3333  6 Pb 3.20-3.22, 1 Zr 3.44
Zr 0.0000 0.0000 0.1706  6 Pb 3.04-3.10
Zr 0.3333 0.6667 0.8373  6 Pb 3.04-3.10
Zr 0.6667 0.3333 0.5040  6 Pb 3.04-3.10
Pb 0.0000 0.0000 0.4239  3 Zr 3.10, 1 Pb 3.11, 3 Pu 3.22
Pb 0.0000 0.0000 0.5780  3 Zr 3.04, 1 Pb 3.11, 3 Pu 3.20
Pb 0.3333 0.6667 0.0906  3 Zr 3.10, 1 Pb 3.11, 3 Pu 3.22
Pb 0.3333 0.6667 0.2446  3 Zr 3.04, 1 Pb 3.11, 3 Pu 3.20
Pb 0.6667 0.3333 0.7573  3 Zr 3.10, 1 Pb 3.11, 3 Pu 3.22
Pb 0.6667 0.3333 0.9113  3 Zr 3.04, 1 Pb 3.11, 3 Pu 3.20



no.,calculated volume (Å³/cell),density of states at the Fermi level (states/eV/cell),spin magnetization (μB per atom)
1,320.4,29.1,1.5515
2,155.1,16.0,1.8189
3,367.9,34.5,1.4978